VASP calculation (PBE) on crystalline Nd2ScGe3 at its relaxed geometry.

Calculated values
space group: Immm, No. 71
formation energy from the elements: -3.9 eV per formula unit
density of states at the Fermi level: 4.25 states/eV/cell

Lattice parameters (Å, degrees): 4.7398 5.9084 6.5819 116.67 111.10 90.00
Positions (direct):
1 Nd 0.6781 0.1781 0.3561
2 Nd 0.3219 0.8219 0.6439
3 Sc 0.0000 0.5000 0.0000
4 Ge 0.3706 0.3706 0.7412
5 Ge 0.0000 0.0000 0.0000
6 Ge 0.6294 0.6294 0.2588